[1]
# CaSbSN2

A relaxed structure of CaSbSN2 (PBE, Alexandria via LeMat-Bulk).

Geometry as CIF:
```
data_CaSbSN2
_chemical_formula_sum 'Ca1 Sb1 S1 N2'
_cell_length_a 4.4598
_cell_length_b 4.4598
_cell_length_c 5.3798
_cell_angle_alpha 90.00
_cell_angle_beta 90.00
_cell_angle_gamma 90.00
_symmetry_space_group_name_H-M 'P 4/m m m'
_symmetry_Int_Tables_number 123
_symmetry_space_group_name_Hall '-P 4 2'
loop_
_atom_site_label
_atom_site_type_symbol
_atom_site_fract_x
_atom_site_fract_y
_atom_site_fract_z
_atom_site_occupancy
Ca1 Ca 0.0000 0.0000 0.0000 1
Sb1 Sb 0.5000 0.5000 0.5000 1
S1 S 0.0000 0.0000 0.5000 1
N1 N 0.0000 0.5000 0.0000 1
```

DOS(E_F) in states/eV per cell: 1.92
Excess energy over the best structure of this formula in the dataset in eV per atom: 1.011
Uncorrected formation energy in eV/atom: 1.212

=====

[2]
# CaSbS2N

A relaxed structure of CaSbS2N (PBE, Alexandria via LeMat-Bulk).

Geometry as CIF:
```
data_CaSbS2N
_chemical_formula_sum 'Ca1 Sb1 S2 N1'
_cell_length_a 5.2729
_cell_length_b 5.2729
_cell_length_c 4.3607
_cell_angle_alpha 90.00
_cell_angle_beta 90.00
_cell_angle_gamma 90.00
_symmetry_space_group_name_H-M 'P 4/m m m'
_symmetry_Int_Tables_number 123
_symmetry_space_group_name_Hall '-P 4 2'
loop_
_atom_site_label
_atom_site_type_symbol
_atom_site_fract_x
_atom_site_fract_y
_atom_site_fract_z
_atom_site_occupancy
Ca1 Ca 0.0000 0.0000 0.0000 1
Sb1 Sb 0.5000 0.5000 0.5000 1
S1 S 0.0000 0.5000 0.0000 1
N1 N 0.0000 0.0000 0.5000 1
```

DOS(E_F) in states/eV per cell: 1.55
Excess energy over the best structure of this formula in the dataset in eV per atom: 0.777
Uncorrected formation energy in eV/atom: 0.600

=====

[3]
# CaScSN2

A relaxed structure of CaScSN2 (PBE, Alexandria via LeMat-Bulk).

Geometry as CIF:
```
data_CaScSN2
_chemical_formula_sum 'Ca1 Sc1 S1 N2'
_cell_length_a 4.1144
_cell_length_b 4.1144
_cell_length_c 5.2489
_cell_angle_alpha 90.00
_cell_angle_beta 90.00
_cell_angle_gamma 90.00
_symmetry_space_group_name_H-M 'P 4/m m m'
_symmetry_Int_Tables_number 123
_symmetry_space_group_name_Hall '-P 4 2'
loop_
_atom_site_label
_atom_site_type_symbol
_atom_site_fract_x
_atom_site_fract_y
_atom_site_fract_z
_atom_site_occupancy
Ca1 Ca 0.0000 0.0000 0.0000 1
Sc1 Sc 0.5000 0.5000 0.5000 1
S1 S 0.0000 0.0000 0.5000 1
N1 N 0.0000 0.5000 0.0000 1
```

DOS(E_F) in states/eV per cell: 3.29
Excess energy over the best structure of this formula in the dataset in eV per atom: 1.046
Uncorrected formation energy in eV/atom: 0.682

=====

[4]
# CaScSN2

A relaxed structure of CaScSN2 (PBE, Alexandria via LeMat-Bulk).

Geometry as CIF:
```
data_CaScSN2
_chemical_formula_sum 'Ca1 Sc1 S1 N2'
_cell_length_a 4.1880
_cell_length_b 4.1880
_cell_length_c 5.0934
_cell_angle_alpha 90.00
_cell_angle_beta 90.00
_cell_angle_gamma 90.00
_symmetry_space_group_name_H-M 'P 4/m m m'
_symmetry_Int_Tables_number 123
_symmetry_space_group_name_Hall '-P 4 2'
loop_
_atom_site_label
_atom_site_type_symbol
_atom_site_fract_x
_atom_site_fract_y
_atom_site_fract_z
_atom_site_occupancy
Ca1 Ca 0.0000 0.0000 0.0000 1
Sc1 Sc 0.5000 0.5000 0.5000 1
S1 S 0.5000 0.5000 0.0000 1
N1 N 0.0000 0.5000 0.5000 1
```

DOS(E_F) in states/eV per cell: 3.08
Excess energy over the best structure of this formula in the dataset in eV per atom: 0.000
Uncorrected formation energy in eV/atom: -0.365

=====

[5]
# CaSnSN2

A relaxed structure of CaSnSN2 (PBE, Alexandria via LeMat-Bulk).

Geometry as CIF:
```
data_CaSnSN2
_chemical_formula_sum 'Ca1 Sn1 S1 N2'
_cell_length_a 4.5241
_cell_length_b 4.5241
_cell_length_c 5.4487
_cell_angle_alpha 90.00
_cell_angle_beta 90.00
_cell_angle_gamma 90.00
_symmetry_space_group_name_H-M 'P 4/m m m'
_symmetry_Int_Tables_number 123
_symmetry_space_group_name_Hall '-P 4 2'
loop_
_atom_site_label
_atom_site_type_symbol
_atom_site_fract_x
_atom_site_fract_y
_atom_site_fract_z
_atom_site_occupancy
Ca1 Ca 0.0000 0.0000 0.0000 1
Sn1 Sn 0.5000 0.5000 0.5000 1
S1 S 0.0000 0.0000 0.5000 1
N1 N 0.0000 0.5000 0.0000 1
```

DOS(E_F) in states/eV per cell: 1.49
Excess energy over the best structure of this formula in the dataset in eV per atom: 0.746
Uncorrected formation energy in eV/atom: 1.009

=====

[6]
# CaSnS2N

A relaxed structure of CaSnS2N (PBE, Alexandria via LeMat-Bulk).

Geometry as CIF:
```
data_CaSnS2N
_chemical_formula_sum 'Ca1 Sn1 S2 N1'
_cell_length_a 5.1189
_cell_length_b 5.1189
_cell_length_c 4.0710
_cell_angle_alpha 90.00
_cell_angle_beta 90.00
_cell_angle_gamma 90.00
_symmetry_space_group_name_H-M 'P 4/m m m'
_symmetry_Int_Tables_number 123
_symmetry_space_group_name_Hall '-P 4 2'
loop_
_atom_site_label
_atom_site_type_symbol
_atom_site_fract_x
_atom_site_fract_y
_atom_site_fract_z
_atom_site_occupancy
Ca1 Ca 0.0000 0.0000 0.0000 1
Sn1 Sn 0.5000 0.5000 0.5000 1
S1 S 0.0000 0.5000 0.5000 1
N1 N 0.5000 0.5000 0.0000 1
```

DOS(E_F) in states/eV per cell: 1.52
Excess energy over the best structure of this formula in the dataset in eV per atom: 0.000
Uncorrected formation energy in eV/atom: -0.216

=====

[7]
# CaSnS2N

A relaxed structure of CaSnS2N (PBE, Alexandria via LeMat-Bulk).

Geometry as CIF:
```
data_CaSnS2N
_chemical_formula_sum 'Ca1 Sn1 S2 N1'
_cell_length_a 5.2989
_cell_length_b 5.2989
_cell_length_c 4.4994
_cell_angle_alpha 90.00
_cell_angle_beta 90.00
_cell_angle_gamma 90.00
_symmetry_space_group_name_H-M 'P 4/m m m'
_symmetry_Int_Tables_number 123
_symmetry_space_group_name_Hall '-P 4 2'
loop_
_atom_site_label
_atom_site_type_symbol
_atom_site_fract_x
_atom_site_fract_y
_atom_site_fract_z
_atom_site_occupancy
Ca1 Ca 0.0000 0.0000 0.0000 1
Sn1 Sn 0.5000 0.5000 0.5000 1
S1 S 0.0000 0.5000 0.0000 1
N1 N 0.0000 0.0000 0.5000 1
```

DOS(E_F) in states/eV per cell: 4.36
Excess energy over the best structure of this formula in the dataset in eV per atom: 0.616
Uncorrected formation energy in eV/atom: 0.401

=====

[8]
# CaSnSN2

A relaxed structure of CaSnSN2 (PBE, Alexandria via LeMat-Bulk).

Geometry as CIF:
```
data_CaSnSN2
_chemical_formula_sum 'Ca1 Sn1 S1 N2'
_cell_length_a 4.1622
_cell_length_b 4.1622
_cell_length_c 5.3020
_cell_angle_alpha 90.00
_cell_angle_beta 90.00
_cell_angle_gamma 90.00
_symmetry_space_group_name_H-M 'P 4/m m m'
_symmetry_Int_Tables_number 123
_symmetry_space_group_name_Hall '-P 4 2'
loop_
_atom_site_label
_atom_site_type_symbol
_atom_site_fract_x
_atom_site_fract_y
_atom_site_fract_z
_atom_site_occupancy
Ca1 Ca 0.0000 0.0000 0.0000 1
Sn1 Sn 0.5000 0.5000 0.5000 1
S1 S 0.5000 0.5000 0.0000 1
N1 N 0.0000 0.5000 0.5000 1
```

DOS(E_F) in states/eV per cell: 3.55
Excess energy over the best structure of this formula in the dataset in eV per atom: 0.000
Uncorrected formation energy in eV/atom: 0.263

=====

[9]
# SrCaSN2

A relaxed structure of SrCaSN2 (PBE, Alexandria via LeMat-Bulk).

Geometry as CIF:
```
data_SrCaSN2
_chemical_formula_sum 'Sr1 Ca1 S1 N2'
_cell_length_a 4.7162
_cell_length_b 4.7162
_cell_length_c 5.7483
_cell_angle_alpha 90.00
_cell_angle_beta 90.00
_cell_angle_gamma 90.00
_symmetry_space_group_name_H-M 'P 4/m m m'
_symmetry_Int_Tables_number 123
_symmetry_space_group_name_Hall '-P 4 2'
loop_
_atom_site_label
_atom_site_type_symbol
_atom_site_fract_x
_atom_site_fract_y
_atom_site_fract_z
_atom_site_occupancy
Sr1 Sr 0.0000 0.0000 0.0000 1
Ca1 Ca 0.5000 0.5000 0.5000 1
S1 S 0.0000 0.0000 0.5000 1
N1 N 0.0000 0.5000 0.0000 1
```

DOS(E_F) in states/eV per cell: 1.68
Excess energy over the best structure of this formula in the dataset in eV per atom: 0.347
Uncorrected formation energy in eV/atom: 0.559

=====

[10]
# SrCaS2N

A relaxed structure of SrCaS2N (PBE, Alexandria via LeMat-Bulk).

Geometry as CIF:
```
data_SrCaS2N
_chemical_formula_sum 'Sr1 Ca1 S2 N1'
_cell_length_a 5.3049
_cell_length_b 5.3049
_cell_length_c 4.5562
_cell_angle_alpha 90.00
_cell_angle_beta 90.00
_cell_angle_gamma 90.00
_symmetry_space_group_name_H-M 'P 4/m m m'
_symmetry_Int_Tables_number 123
_symmetry_space_group_name_Hall '-P 4 2'
loop_
_atom_site_label
_atom_site_type_symbol
_atom_site_fract_x
_atom_site_fract_y
_atom_site_fract_z
_atom_site_occupancy
Sr1 Sr 0.0000 0.0000 0.0000 1
Ca1 Ca 0.5000 0.5000 0.5000 1
S1 S 0.0000 0.5000 0.5000 1
N1 N 0.5000 0.5000 0.0000 1
```

DOS(E_F) in states/eV per cell: 2.97
Excess energy over the best structure of this formula in the dataset in eV per atom: 0.000
Uncorrected formation energy in eV/atom: -0.444

=====

[11]
# SrCaS2N

A relaxed structure of SrCaS2N (PBE, Alexandria via LeMat-Bulk).

Geometry as CIF:
```
data_SrCaS2N
_chemical_formula_sum 'Sr1 Ca1 S2 N1'
_cell_length_a 5.5287
_cell_length_b 5.5287
_cell_length_c 4.7345
_cell_angle_alpha 90.00
_cell_angle_beta 90.00
_cell_angle_gamma 90.00
_symmetry_space_group_name_H-M 'P 4/m m m'
_symmetry_Int_Tables_number 123
_symmetry_space_group_name_Hall '-P 4 2'
loop_
_atom_site_label
_atom_site_type_symbol
_atom_site_fract_x
_atom_site_fract_y
_atom_site_fract_z
_atom_site_occupancy
Sr1 Sr 0.0000 0.0000 0.0000 1
Ca1 Ca 0.5000 0.5000 0.5000 1
S1 S 0.0000 0.5000 0.0000 1
N1 N 0.0000 0.0000 0.5000 1
```

DOS(E_F) in states/eV per cell: 3.64
Excess energy over the best structure of this formula in the dataset in eV per atom: 0.368
Uncorrected formation energy in eV/atom: -0.076

=====

[12]
# SrCaSN2

A relaxed structure of SrCaSN2 (PBE, Alexandria via LeMat-Bulk).

Geometry as CIF:
```
data_SrCaSN2
_chemical_formula_sum 'Sr1 Ca1 S1 N2'
_cell_length_a 4.5854
_cell_length_b 4.5854
_cell_length_c 5.4028
_cell_angle_alpha 90.00
_cell_angle_beta 90.00
_cell_angle_gamma 90.00
_symmetry_space_group_name_H-M 'P 4/m m m'
_symmetry_Int_Tables_number 123
_symmetry_space_group_name_Hall '-P 4 2'
loop_
_atom_site_label
_atom_site_type_symbol
_atom_site_fract_x
_atom_site_fract_y
_atom_site_fract_z
_atom_site_occupancy
Sr1 Sr 0.0000 0.0000 0.0000 1
Ca1 Ca 0.5000 0.5000 0.5000 1
S1 S 0.5000 0.5000 0.0000 1
N1 N 0.0000 0.5000 0.5000 1
```

DOS(E_F) in states/eV per cell: 1.59
Excess energy over the best structure of this formula in the dataset in eV per atom: 0.000
Uncorrected formation energy in eV/atom: 0.212

=====

[13]
# CaTaS2N

A relaxed structure of CaTaS2N (PBE, Alexandria via LeMat-Bulk).

Geometry as CIF:
```
data_CaTaS2N
_chemical_formula_sum 'Ca1 Ta1 S2 N1'
_cell_length_a 5.0539
_cell_length_b 5.0539
_cell_length_c 4.1626
_cell_angle_alpha 90.00
_cell_angle_beta 90.00
_cell_angle_gamma 90.00
_symmetry_space_group_name_H-M 'P 4/m m m'
_symmetry_Int_Tables_number 123
_symmetry_space_group_name_Hall '-P 4 2'
loop_
_atom_site_label
_atom_site_type_symbol
_atom_site_fract_x
_atom_site_fract_y
_atom_site_fract_z
_atom_site_occupancy
Ca1 Ca 0.0000 0.0000 0.0000 1
Ta1 Ta 0.5000 0.5000 0.5000 1
S1 S 0.0000 0.5000 0.0000 1
N1 N 0.0000 0.0000 0.5000 1
```

DOS(E_F) in states/eV per cell: 4.07
Excess energy over the best structure of this formula in the dataset in eV per atom: 2.159
Uncorrected formation energy in eV/atom: 1.111

=====

[14]
# CaTaS2N

A relaxed structure of CaTaS2N (PBE, Alexandria via LeMat-Bulk).

Geometry as CIF:
```
data_CaTaS2N
_chemical_formula_sum 'Ca1 Ta1 S2 N1'
_cell_length_a 4.9316
_cell_length_b 4.9316
_cell_length_c 3.9543
_cell_angle_alpha 90.00
_cell_angle_beta 90.00
_cell_angle_gamma 90.00
_symmetry_space_group_name_H-M 'P 4/m m m'
_symmetry_Int_Tables_number 123
_symmetry_space_group_name_Hall '-P 4 2'
loop_
_atom_site_label
_atom_site_type_symbol
_atom_site_fract_x
_atom_site_fract_y
_atom_site_fract_z
_atom_site_occupancy
Ca1 Ca 0.0000 0.0000 0.0000 1
Ta1 Ta 0.5000 0.5000 0.5000 1
S1 S 0.0000 0.5000 0.5000 1
N1 N 0.5000 0.5000 0.0000 1
```

DOS(E_F) in states/eV per cell: 0.76
Excess energy over the best structure of this formula in the dataset in eV per atom: 0.000
Uncorrected formation energy in eV/atom: -1.048